Density functional theory data (PBE) for crystalline Dy2Zn5Ni5 at its relaxed geometry.

Results
- Total energy: -0.298 Ry/atom
- Energy above the most stable polymorph in this dataset: 48 kJ/mol of formula units
- ΔH_f (0 K): -407 kJ/mol of formula units
- SG: Pmmm

```
Dy2Zn5Ni5
1.0
-1.1836 0.5406 -3.7681
-2.0019 -4.7351 -0.0505
-7.7509 3.2459 2.9004
Dy Zn Ni
2 5 5
Cartesian
-1.0009 -2.3676 -0.0253
-3.8754 1.6230 1.4502
-3.5817 -1.2868 0.9404
-6.3953 2.6782 2.3931
-1.3556 0.5677 0.5072
-6.1711 -0.2024 1.9094
-0.5918 0.2703 -1.8841
-5.4682 -0.4743 -0.4592
-4.0534 -2.4545 -1.1877
-6.8830 1.5059 0.2694
-3.0565 -0.0966 -1.1625
-7.8799 -0.8520 0.2442
```

---

Density functional theory data (PBE) for crystalline Dy4ZnNi3 at its relaxed geometry.

Results
- Total energy: -0.371 Ry/atom
- ΔH_f (0 K): -321 kJ/mol of formula units
- SG: Pmm2

```
Dy4ZnNi3
1.0
-2.2875 -0.6986 2.8273
3.1803 -2.0958 2.0553
2.9069 8.8658 4.5426
Ni Zn Dy
3 1 4
Cartesian
3.2582 4.0395 3.6343
1.2476 3.8051 1.9496
1.5573 7.8889 5.6346
0.6486 -0.7806 2.7572
1.5214 1.8814 4.1212
4.0563 6.4737 4.8815
0.4194 1.2792 0.6554
0.7043 5.2873 4.3017
```

---

Density functional theory data (PBE) for crystalline Dy3ZnNi3 at its relaxed geometry.

Results
- Total energy: -0.374 Ry/atom
- Energy above the most stable polymorph in this dataset: 0 kJ/mol of formula units
- ΔH_f (0 K): -310 kJ/mol of formula units
- SG: Cmcm

```
Dy3ZnNi3
1.0
-1.7901 -1.4946 3.4419
5.0095 -1.6859 -0.6377
4.3148 10.2834 6.7096
Dy Zn Ni
6 2 6
Cartesian
5.5583 8.2136 6.4575
1.9759 -1.1106 3.0563
4.2981 5.2103 4.4979
3.2361 1.8927 5.0159
7.2459 5.3413 6.0879
0.2883 1.7617 3.4259
-0.8950 -0.7473 1.7209
1.2624 4.3944 5.0757
6.4580 6.5795 8.7268
1.0762 0.5235 0.7870
5.0805 3.2964 6.5847
2.4537 3.8065 2.9291
4.6430 5.6040 7.3592
2.8912 1.4990 2.1546
```

---

Density functional theory data (PBE) for crystalline DyZn2Ni4 at its relaxed geometry.

Results
- Total energy: -0.340 Ry/atom
- Energy above the most stable polymorph in this dataset: 0 kJ/mol of formula units
- ΔH_f (0 K): -202 kJ/mol of formula units
- SG: C2/m

```
DyZn2Ni4
1.0
4.3835 -0.0034 2.3388
2.0331 4.4097 1.4546
0.1067 -0.3129 5.0584
Dy Zn Ni
1 2 4
Cartesian
2.0332 4.4096 1.4547
4.3594 2.0437 5.0088
2.1638 2.0497 3.8430
4.2849 2.7081 2.5152
2.2384 1.3853 6.3366
3.1016 -0.1932 4.7289
3.4218 4.2866 4.1229
```

---

Density functional theory data (PBE) for crystalline Dy2Zn5Ni at its relaxed geometry.

Results
- Total energy: -0.220 Ry/atom
- ΔH_f (0 K): -247 kJ/mol of formula units
- SG: Cmcm

```
Dy2Zn5Ni
1.0
-0.2331 4.0488 -0.1427
-5.1394 -2.1109 6.2042
6.8052 0.5976 5.8406
Dy Zn Ni
4 10 2
Cartesian
1.6692 2.4180 8.1808
-0.2365 0.1175 3.7213
0.0000 0.0000 0.0000
3.4026 0.2988 2.9203
4.0165 0.4996 7.6160
-2.5838 2.0359 4.2860
2.0741 0.3290 5.9489
-0.6414 2.2065 5.9532
2.8663 0.5211 10.1043
-1.4336 2.0144 1.7978
-0.2081 0.2511 7.4657
1.6408 2.2844 4.4364
3.9511 2.4555 5.5182
-2.5185 0.0800 6.3839
0.4055 0.3709 9.8626
1.0271 2.1646 2.0394
```

---

Density functional theory data (PBE) for crystalline Dy12ZnNi6 at its relaxed geometry.

Results
- Total energy: -0.363 Ry/atom
- Energy above the most stable polymorph in this dataset: 326 kJ/mol of formula units
- ΔH_f (0 K): -254 kJ/mol of formula units
- SG: R-3

```
Dy12ZnNi6
1.0
8.1722 -0.3939 -0.4719
-1.6283 8.0180 -0.4719
-1.6283 -1.8971 7.8047
Dy Zn Ni
12 1 6
Cartesian
5.0997 3.5704 2.8431
1.3613 5.3681 4.0210
2.7560 1.7999 6.0002
-0.1841 2.1567 4.0177
3.5544 0.3589 2.8399
2.1596 3.9272 0.8606
-1.4217 6.7452 2.1042
-1.9672 3.5883 6.8613
3.8450 7.0011 -0.1518
6.3373 -1.0182 4.7566
6.8828 2.1388 -0.0005
1.0706 -1.2741 7.0127
0.0000 0.0000 0.0000
3.5641 5.8449 2.2639
4.2866 2.0247 0.7055
-0.3214 4.2874 2.1182
1.3515 -0.1178 4.5970
0.6290 3.7023 6.1553
5.2370 1.4396 4.7426
```